Entry 1:
# LiMg2Be

A relaxed LiMg2Be crystal (PBE-GGA, the Alexandria database).

Cell: 4.2595 2.8521 5.8202 Å, 76.03 90.00 90.00°
Fractional positions:
1 Be 0.5000 0.2500 0.2500
2 Li 0.5000 0.7500 0.7500
3 Mg 0.0000 0.0138 0.0121
4 Mg 0.0000 0.4862 0.4879

Total magnetic moment = 0.0 μB/f.u.
Formation energy from the elements = 0.228 eV/atom
Space-group type = P2/m, No. 10
Calculated density = 1.562 Mg/m³

Entry 2:
# LiNdNbN3

A relaxed LiNdNbN3 crystal (PBE-GGA, the Alexandria database).

Cell: 3.2488 6.8671 6.9632 Å, 104.70 90.00 90.00°
Fractional positions:
1 Li 0.2500 0.0786 0.5896
2 Li 0.7500 0.9214 0.4104
3 Nd 0.7500 0.7897 0.7641
4 Nd 0.2500 0.2103 0.2359
5 Nb 0.2500 0.6765 0.1800
6 Nb 0.7500 0.3235 0.8200
7 N 0.2500 0.7847 0.4711
8 N 0.7500 0.8641 0.1327
9 N 0.7500 0.4513 0.1647
10 N 0.7500 0.2153 0.5289
11 N 0.2500 0.5487 0.8353
12 N 0.2500 0.1359 0.8673

Total magnetic moment = 0.0 μB/f.u.
Energy relative to the elements, uncorrected = -934 meV/atom
Space-group type = P2_1/m, No. 11
Calculated density = 6.324 Mg/m³

| no. | V (A^3/atom) |
| --- | --- |
| 1 | 17.15 |
| 2 | 12.52 |